{
  "formula": "CoAuSO",
  "functional": "PBE+U",
  "state": "relaxed",
  "cell": [[4.011, 0.000, 0.000], [0.000, 4.011, 0.000], [0.000, 0.000, 8.836]],
  "species": ["S", "Co", "Au", "O", "O", "S", "Co", "Au"],
  "fractional_positions": [[0.750, 0.750, 0.317], [0.250, 0.250, 0.955], [0.750, 0.250, 0.500], [0.750, 0.250, 0.000], [0.250, 0.750, 0.000], [0.250, 0.250, 0.683], [0.750, 0.750, 0.045], [0.250, 0.750, 0.500]],
  "density_g_cm3": 7.10,
  "de_polymorph_mev_per_atom": 117
}